# GaAg2Cl6

A relaxed GaAg2Cl6 crystal (GGA-PBE, the Alexandria database).

For the energy above the most stable polymorph in this dataset, the calculation gives 50 meV per atom. The calculation puts the formation energy (no corrections) at -0.671 eV per atom. The total energy is -2.872 eV per atom. The calculation puts the size of the total moment at 0.0 μB/cell.

It has space group P2_1/c (No. 14), with a = 6.400 Å, b = 6.714 Å, c = 11.981 Å, α = 90.00°, β = 116.87° and γ = 90.00°. The inequivalent atoms are Ga at (0.000, 0.000, 0.000), Ag at (0.330, 0.117, 0.829), Cl at (0.066, 0.216, 0.407), Cl at (0.238, 0.688, 0.438) and Cl at (0.361, 0.081, 0.206).

---

# Pm5PrNd2Ho

A relaxed Pm5PrNd2Ho crystal (GGA-PBE, the Alexandria database).

The calculation puts the energy of formation from the pure elements at 0.268 eV per atom. The total energy is -4.471 eV per atom. The calculation puts the size of the total moment at 0.0 μB/cell.

It has space group I4/mcm (No. 140), with a = 8.896 Å, b = 8.896 Å, c = 15.835 Å, α = 90.00°, β = 90.00° and γ = 90.00°. The inequivalent atoms are Pm at (0.000, 0.000, 0.000), Pm at (0.209, 0.291, 0.138), Pr at (0.000, 0.000, 0.250), Nd at (0.117, 0.383, 0.500) and Ho at (0.000, 0.500, 0.250).

---

# Pr4CoPBr2

A relaxed Pr4CoPBr2 crystal (GGA-PBE, the Alexandria database).

The calculation puts the formation energy (no corrections) at -1.068 eV per atom. The total energy is -5.440 eV per atom. The calculation puts the size of the total moment at 0.0 μB/cell.

It has space group P2/m (No. 10), with a = 7.499 Å, b = 4.014 Å, c = 7.888 Å, α = 90.00°, β = 106.98° and γ = 90.00°. The inequivalent atoms are Pr at (0.211, 0.000, 0.192), Pr at (0.261, 0.500, 0.795), Co at (0.000, 0.500, 0.000), P at (0.500, 0.000, 0.000), Br at (0.000, 0.000, 0.500) and Br at (0.500, 0.500, 0.500).

---

# Li2Nd2SnPd5

A relaxed Li2Nd2SnPd5 crystal (GGA-PBE, the Alexandria database).

The calculation puts the energy of formation from the pure elements at -0.663 eV per atom. The total energy is -4.996 eV per atom. The calculation puts the size of the total moment at 0.0 μB/cell.

It has space group P4/mbm (No. 127), with a = 9.724 Å, b = 9.724 Å, c = 3.810 Å, α = 90.00°, β = 90.00° and γ = 90.00°. The inequivalent atoms are Li at (0.119, 0.381, 0.000), Nd at (0.178, 0.678, 0.000), Sn at (0.000, 0.000, 0.000), Pd at (0.000, 0.500, 0.500) and Pd at (0.067, 0.211, 0.500).

---

# AuSeIBr2

A relaxed AuSeIBr2 crystal (GGA-PBE, the Alexandria database).

For the energy above the most stable polymorph in this dataset, the calculation gives 0 meV per atom. The calculation puts the formation energy (no corrections) at 0.335 eV per atom. The total energy is -1.997 eV per atom. The calculation puts the size of the total moment at 0.0 μB/cell.

It has space group P4/mmm (No. 123), with a = 5.160 Å, b = 5.160 Å, c = 5.465 Å, α = 90.00°, β = 90.00° and γ = 90.00°. The inequivalent atoms are Au at (0.000, 0.000, 0.000), Se at (0.000, 0.000, 0.500), I at (0.500, 0.500, 0.500) and Br at (0.000, 0.500, 0.000).

---

# TiHCl

A relaxed TiHCl crystal (GGA-PBE, the Alexandria database).

The total energy is -5.223 eV per atom. The calculation puts the size of the total moment at 0.0 μB/cell.

It has space group P2_1/m (No. 11), with a = 3.624 Å, b = 3.094 Å, c = 8.785 Å, α = 90.00°, β = 91.67° and γ = 90.00°. The inequivalent atoms are Ti at (0.231, 0.250, 0.106), H at (0.264, 0.750, 0.977) and Cl at (0.250, 0.750, 0.313).

---

# In8Hg2Bi3

A relaxed In8Hg2Bi3 crystal (GGA-PBE, the Alexandria database).

The calculation puts the energy of formation from the pure elements at 0.069 eV per atom. The total energy is -2.558 eV per atom. The calculation puts the size of the total moment at 0.0 μB/cell.

It has space group Cmmm (No. 65), with a = 10.180 Å, b = 22.932 Å, c = 3.557 Å, α = 90.00°, β = 90.00° and γ = 90.00°. The inequivalent atoms are In at (0.000, 0.127, 0.000), In at (0.000, 0.351, 0.000), In at (0.246, 0.385, 0.500), Hg at (0.000, 0.240, 0.500), Bi at (0.000, 0.000, 0.500) and Bi at (0.156, 0.500, 0.000).

---

# Nd8Bi2Pd

A relaxed Nd8Bi2Pd crystal (GGA-PBE, the Alexandria database).

The calculation puts the energy of formation from the pure elements at -0.410 eV per atom. The total energy is -5.055 eV per atom. The calculation puts the size of the total moment at 0.0 μB/cell.

It has space group C2/m (No. 12), with a = 19.575 Å, b = 4.924 Å, c = 7.498 Å, α = 90.00°, β = 99.06° and γ = 90.00°. The inequivalent atoms are Nd at (0.006, 0.000, 0.273), Nd at (0.094, 0.500, 0.005), Nd at (0.147, 0.500, 0.533), Nd at (0.214, 0.000, 0.847), Bi at (0.183, 0.000, 0.275) and Pd at (0.000, 0.500, 0.500).

---

# ScBeTl

A relaxed ScBeTl crystal (GGA-PBE, the Alexandria database).

For the energy above the most stable polymorph in this dataset, the calculation gives 0 meV per atom. The calculation puts the energy of formation from the pure elements at -0.088 eV per atom. The total energy is -4.229 eV per atom. The calculation puts the size of the total moment at 0.0 μB/cell.

It has space group P-6m2 (No. 187), with a = 4.3326 Å, b = 4.3326 Å, c = 6.8867 Å, α = 90.00°, β = 90.00° and γ = 120.00°. The inequivalent atoms are Sc at (0.0000, 0.0000, 0.0000), Sc at (0.0000, 0.0000, 0.5000), Be at (0.3333, 0.6667, 0.1764) and Tl at (0.6667, 0.3333, 0.2662).

---

# Si2SbPb

A relaxed Si2SbPb crystal (GGA-PBE, the Alexandria database).

For the energy above the most stable polymorph in this dataset, the calculation gives 302 meV per atom. The calculation puts the formation energy (no corrections) at 0.567 eV per atom. The total energy is -4.103 eV per atom. The calculation puts the size of the total moment at 0.0 μB/cell.

It has space group Fm-3m (No. 225), with a = 7.122 Å, b = 7.122 Å, c = 7.122 Å, α = 90.00°, β = 90.00° and γ = 90.00°. The inequivalent atoms are Si at (0.250, 0.250, 0.250), Sb at (0.000, 0.000, 0.000) and Pb at (0.000, 0.000, 0.500).

---

# Ca2TaBe2N4

A relaxed Ca2TaBe2N4 crystal (GGA-PBE, the Alexandria database).

The calculation puts the formation energy (no corrections) at -1.001 eV per atom. The total energy is -7.291 eV per atom. The calculation puts the size of the total moment at 0.0 μB/cell.

It has space group C2/m (No. 12), with a = 11.596 Å, b = 3.099 Å, c = 5.696 Å, α = 90.00°, β = 108.46° and γ = 90.00°. The inequivalent atoms are Ca at (0.132, 0.000, 0.056), Ta at (0.000, 0.000, 0.500), Be at (0.182, 0.500, 0.493), N at (0.034, 0.500, 0.274) and N at (0.205, 0.000, 0.664).

---

# KRb2BaCd

A relaxed KRb2BaCd crystal (GGA-PBE, the Alexandria database).

The calculation puts the energy of formation from the pure elements at 0.062 eV per atom. The total energy is -1.112 eV per atom. The calculation puts the size of the total moment at 0.0 μB/cell.

It has space group P4/mmm (No. 123), with a = 7.221 Å, b = 7.221 Å, c = 6.880 Å, α = 90.00°, β = 90.00° and γ = 90.00°. The inequivalent atoms are K at (0.000, 0.000, 0.000), Rb at (0.000, 0.500, 0.500), Ba at (0.500, 0.500, 0.000) and Cd at (0.500, 0.500, 0.500).